{
  "formula": "NiIrRu2",
  "functional": "PBEsol",
  "state": "relaxed",
  "cell": [[-0.556, 2.448, 0.873], [-1.742, 0.735, -3.170], [-4.493, -1.755, 2.062]],
  "species": ["Ni", "Ru", "Ru", "Ir"],
  "frac_coords": [[0.500, 0.500, 0.751], [0.000, 0.000, 0.995], [0.500, 0.500, 0.245], [0.000, 0.000, 0.508]],
  "ef_ev_per_atom": 0.05,
  "polymorph_energy_mev_per_atom": 0.0,
  "n_ef_per_ev_cell": 5.04,
  "volume_a3_per_fu": 51.45
}

***

{
  "formula": "Te2RhSe",
  "functional": "PBEsol",
  "state": "relaxed",
  "cell": [[4.855, 0.009, 0.014], [-1.722, 4.539, -0.014], [-1.722, -2.166, 3.989]],
  "species": ["Te", "Te", "Rh", "Se"],
  "frac_coords": [[0.500, 0.000, 0.500], [0.500, 0.500, 0.000], [0.000, 0.500, 0.500], [0.000, 0.000, 0.000]],
  "raw_formation_energy_ev_per_fu": 0.13,
  "n_ef_per_ev_cell": 2.35,
  "volume_a3_per_fu": 87.96
}

***

{
  "formula": "Cs2IrN",
  "functional": "PBEsol",
  "state": "relaxed",
  "cell": [[-1.146, 0.959, -3.404], [3.236, -6.834, -5.044], [-8.132, -4.038, -0.430]],
  "species": ["Ir", "Ir", "Cs", "Cs", "Cs", "Cs", "N", "N"],
  "frac_coords": [[0.750, 0.500, 0.500], [0.000, 0.000, 0.000], [0.375, 0.275, 0.225], [0.350, 0.775, 0.275], [0.400, 0.225, 0.725], [0.875, 0.725, 0.775], [0.500, 0.000, 0.000], [0.250, 0.500, 0.500]],
  "raw_formation_energy_ev_per_fu": -0.10,
  "n_ef_per_ev_cell": 3.79,
  "volume_a3_per_fu": 147.12
}